Entry 1:
A relaxed structure of YInSn3. Source: Alexandria via LeMat-Bulk, functional PBE-GGA.

a = 6.3959 Å, b = 6.2658 Å, c = 13.3682 Å
α = 90.00°, β = 90.00°, γ = 90.00°
Positions (direct):
1 Sn 0.7500 0.2862 0.9145
2 Y 0.2500 0.4889 0.3117
3 Sn 0.7500 0.7862 0.0855
4 In 0.0000 0.2500 0.1188
5 Sn 0.7500 0.5150 0.2880
6 Y 0.7500 0.0111 0.3117
7 Y 0.7500 0.5111 0.6883
8 Sn 0.2500 0.7138 0.0855
9 In 0.5000 0.7500 0.8812
10 Sn 0.5000 0.2500 0.4994
11 Sn 0.0000 0.7500 0.5006
12 Sn 0.2500 0.2138 0.9145
13 In 0.5000 0.2500 0.1188
14 Sn 0.5000 0.7500 0.5006
15 Y 0.2500 0.9889 0.6883
16 Sn 0.7500 0.0150 0.7120
17 In 0.0000 0.7500 0.8812
18 Sn 0.2500 0.9850 0.2880
19 Sn 0.0000 0.2500 0.4994
20 Sn 0.2500 0.4850 0.7120

Computed properties:
Energy above the most stable polymorph in this dataset = 0 meV/atom
ΔH_f (0 K) = -0.297 eV/atom

Entry 2:
A relaxed structure of Ac4NdPu3S8. Source: Alexandria via LeMat-Bulk, functional PBE-GGA.

a = 8.2700 Å, b = 8.3425 Å, c = 8.2690 Å
α = 119.69°, β = 120.00°, γ = 90.00°
Positions (direct):
1 S 0.2616 0.2713 0.0164
2 Ac 0.5000 0.0000 0.0000
3 Ac 0.0000 0.0000 0.5000
4 Pu 0.5000 0.5000 0.5000
5 S 0.2452 0.7287 0.9836
6 S 0.7384 0.7287 0.9836
7 Nd 0.0000 0.5000 0.0000
8 S 0.7416 0.7248 0.4832
9 Pu 0.0000 0.5000 0.5000
10 S 0.2584 0.2752 0.5168
11 S 0.7549 0.2713 0.5097
12 Ac 0.5000 0.0000 0.5000
13 Ac 0.0000 0.0000 0.0000
14 Pu 0.5000 0.5000 0.0000
15 S 0.2451 0.7287 0.4903
16 S 0.7548 0.2713 0.0164

Computed properties:
Formation energy from raw total energies = -1.90 eV per atom

Entry 3:
A relaxed structure of SrCoPt. Source: Alexandria via LeMat-Bulk, functional PBE-GGA.

a = 4.1449 Å, b = 4.1449 Å, c = 4.5410 Å
α = 90.00°, β = 90.00°, γ = 120.00°
Positions (direct):
1 Pt 0.3333 0.6667 0.1667
2 Sr 0.6667 0.3333 0.6667
3 Co 0.0000 0.0000 0.1666

Computed properties:
ΔH_f (0 K) = -0.301 eV/atom

Entry 4:
A relaxed structure of Nd2Y3HoTe6. Source: Alexandria via LeMat-Bulk, functional PBE-GGA.

a = 4.3753 Å, b = 8.8662 Å, c = 9.8607 Å
α = 102.89°, β = 102.82°, γ = 90.00°
Positions (direct):
1 Te 0.6630 0.0741 0.3260
2 Y 0.1727 0.8347 0.3455
3 Ho 0.5000 0.0000 0.0000
4 Te 0.9966 0.2460 0.9933
5 Te 0.3379 0.4108 0.6758
6 Te 0.0034 0.7540 0.0067
7 Te 0.6621 0.5892 0.3242
8 Nd 0.1704 0.3374 0.3409
9 Y 0.8273 0.1653 0.6545
10 Y 0.5000 0.5000 0.0000
11 Nd 0.8296 0.6626 0.6591
12 Te 0.3370 0.9259 0.6740

Computed properties:
Formation energy from raw total energies = -1.34 eV per atom

Entry 5:
A relaxed structure of Pm2Dy2YEr. Source: Alexandria via LeMat-Bulk, functional PBE-GGA.

a = 5.6423 Å, b = 7.0190 Å, c = 9.7817 Å
α = 90.00°, β = 90.00°, γ = 90.00°
Positions (direct):
1 Dy 0.0000 0.7577 0.1631
2 Dy 0.0000 0.2577 0.8369
3 Pm 0.0000 0.2577 0.1744
4 Pm 0.0000 0.7577 0.8256
5 Dy 0.5000 0.2575 0.3308
6 Er 0.5000 0.2575 0.6603
7 Y 0.0000 0.0075 0.5000
8 Y 0.0000 0.5075 0.5000
9 Pm 0.5000 0.5077 0.0000
10 Pm 0.5000 0.0077 0.0000
11 Er 0.5000 0.7575 0.3397
12 Dy 0.5000 0.7575 0.6692

Computed properties:
ΔH_f (0 K) = 0.063 eV/atom

Entry 6:
A relaxed structure of Fe2Mo. Source: Alexandria via LeMat-Bulk, functional PBE-GGA.

a = 7.2387 Å, b = 7.2387 Å, c = 4.2446 Å
α = 90.00°, β = 90.00°, γ = 159.95°
Positions (direct):
1 Fe 0.6040 0.3960 0.7500
2 Fe 0.0426 0.9574 0.2500
3 Fe 0.9574 0.0426 0.7500
4 Mo 0.7061 0.2939 0.2500
5 Mo 0.2939 0.7061 0.7500
6 Fe 0.3960 0.6040 0.2500

Computed properties:
ΔH_f (0 K) = 0.235 eV/atom

Entry 7:
A relaxed structure of PuGa2Pb. Source: Alexandria via LeMat-Bulk, functional PBE-GGA.

a = 3.6960 Å, b = 3.6960 Å, c = 6.9086 Å
α = 90.00°, β = 90.00°, γ = 90.00°
Positions (direct):
1 Pb 0.5000 0.5000 0.5000
2 Ga 0.0000 0.0000 0.2575
3 Pu 0.5000 0.5000 0.0000
4 Ga 0.0000 0.0000 0.7425

Computed properties:
Energy above the most stable polymorph in this dataset = 155 meV/atom
ΔH_f (0 K) = -0.086 eV/atom

Entry 8:
A relaxed structure of AlAs2SeN. Source: Alexandria via LeMat-Bulk, functional PBE-GGA.

a = 4.8695 Å, b = 4.8695 Å, c = 4.8972 Å
α = 90.00°, β = 90.00°, γ = 90.00°
Positions (direct):
1 As 0.0000 0.5000 0.0000
2 N 0.5000 0.5000 0.5000
3 Al 0.0000 0.0000 0.0000
4 As 0.5000 0.0000 0.0000
5 Se 0.0000 0.0000 0.5000

Computed properties:
Formation energy from raw total energies = 1.40 eV per atom
Energy above the most stable polymorph in this dataset = 659 meV/atom

Entry 9:
A relaxed structure of Gd2LuNi. Source: Alexandria via LeMat-Bulk, functional PBE-GGA.

a = 3.4927 Å, b = 3.4927 Å, c = 8.4013 Å
α = 90.00°, β = 90.00°, γ = 90.00°
Positions (direct):
1 Ni 0.5000 0.5000 0.0000
2 Lu 0.5000 0.5000 0.5000
3 Gd 0.0000 0.0000 0.1935
4 Gd 0.0000 0.0000 0.8065

Computed properties:
Energy above the most stable polymorph in this dataset = 0 meV/atom
ΔH_f (0 K) = -0.124 eV/atom

Entry 10:
A relaxed structure of ScTiCd2. Source: Alexandria via LeMat-Bulk, functional PBE-GGA.

a = 7.8008 Å, b = 7.8008 Å, c = 6.2608 Å
α = 51.46°, β = 51.46°, γ = 90.00°
Positions (direct):
1 Cd 0.1123 0.6250 0.2500
2 Cd 0.8750 0.8877 0.7500
3 Ti 0.7500 0.2500 0.5000
4 Cd 0.3750 0.3623 0.7500
5 Ti 0.0000 0.0000 0.0000
6 Sc 0.2500 0.7500 0.5000
7 Sc 0.5000 0.5000 0.0000
8 Cd 0.6377 0.1250 0.2500

Computed properties:
Energy above the most stable polymorph in this dataset = 402 meV/atom
ΔH_f (0 K) = 0.302 eV/atom

Entry 11:
A relaxed structure of ScGeH2Rh. Source: Alexandria via LeMat-Bulk, functional PBE-GGA.

a = 3.5934 Å, b = 5.8737 Å, c = 3.5934 Å
α = 90.00°, β = 90.00°, γ = 90.00°
Positions (direct):
1 Rh 0.5000 0.5000 0.5000
2 H 0.0000 0.0000 0.5000
3 Sc 0.0000 0.5000 0.0000
4 Ge 0.0000 0.0000 0.0000
5 H 0.5000 0.0000 0.0000

Computed properties:
Calculated total energy = -23.35 eV for the cell shown

Entry 12:
A relaxed structure of Ac8CuIr3Cl4. Source: Alexandria via LeMat-Bulk, functional PBE-GGA.

a = 8.7402 Å, b = 9.4173 Å, c = 8.7387 Å
α = 117.68°, β = 120.01°, γ = 90.00°
Positions (direct):
1 Cl 0.0000 0.0000 0.0000
2 Ac 0.2735 0.2971 0.0351
3 Cu 0.0000 0.5000 0.0000
4 Ac 0.2384 0.7029 0.9649
5 Ac 0.2657 0.2975 0.5314
6 Ac 0.7616 0.2971 0.5232
7 Cl 0.5000 0.0000 0.5000
8 Ac 0.7616 0.2971 0.0351
9 Ir 0.0000 0.5000 0.5000
10 Ir 0.5000 0.5000 0.5000
11 Ac 0.2384 0.7029 0.4768
12 Cl 0.5000 0.0000 0.0000
13 Ac 0.7343 0.7025 0.4686
14 Cl 0.0000 0.0000 0.5000
15 Ac 0.7265 0.7029 0.9649
16 Ir 0.5000 0.5000 0.0000

Computed properties:
Formation energy from raw total energies = -1.17 eV per atom

no.,Fermi-level density of states (states/eV/cell),total magnetic moment (μB per formula unit)
1,8.63,0.0
2,26.45,17.2
3,2.15,1.2
4,6.84,0.0
5,19.08,0.0
6,4.53,0.3
7,7.52,5.9
8,2.83,2.4
9,6.02,14.8
10,8.12,2.3
11,2.24,0.0
12,8.87,0.0